Entry 1:
The following is a PBE calculation of a geometry-optimized ZrGaPb structure, from the Alexandria database.

Cell: 9.8997 5.6616 9.5287 Å, 90.00 90.00 90.00°
Sites, in units of the cell vectors:
1 Pb 0.7500 0.7500 0.5480
2 Pb 0.2500 0.7500 0.0480
3 Pb 0.2500 0.2500 0.5480
4 Pb 0.5000 0.0000 0.7980
5 Pb 0.0000 0.0000 0.2980
6 Pb 0.0000 0.5000 0.7980
7 Pb 0.7500 0.2500 0.0480
8 Pb 0.5000 0.5000 0.2980
9 Ga 0.7500 0.2500 0.7060
10 Ga 0.5000 0.0000 0.4560
11 Ga 0.7500 0.7500 0.2060
12 Ga 0.0000 0.0000 0.9560
13 Ga 0.0000 0.5000 0.4560
14 Ga 0.2500 0.2500 0.2060
15 Ga 0.2500 0.7500 0.7060
16 Ga 0.5000 0.5000 0.9560
17 Zr 0.2500 0.7500 0.3889
18 Zr 0.0000 0.0000 0.6389
19 Zr 0.7500 0.7500 0.8889
20 Zr 0.5000 0.5000 0.6389
21 Zr 0.2500 0.2500 0.8889
22 Zr 0.0000 0.5000 0.1389
23 Zr 0.7500 0.2500 0.3889
24 Zr 0.5000 0.0000 0.1389

Calculated values
total magnetization	0.00	Bohr magnetons per cell
total DFT energy (no corrections)	-5.258	eV per atom
calculated formation energy	-164	meV per atom
crystal system	orthorhombic

***

Entry 2:
The following is a PBE calculation of a geometry-optimized NaAgN2F structure, from the Alexandria database.

Cell: 4.0180 4.0180 5.2155 Å, 90.00 90.00 90.00°
Site moments in Bohr magnetons follow the coordinates.
Sites, in units of the cell vectors:
1 N 0.0000 0.5000 0.0000  1.04
2 N 0.5000 0.0000 0.0000  1.04
3 Ag 0.0000 0.0000 0.0000  0.23
4 F 0.0000 0.0000 0.5000  0.04
5 Na 0.5000 0.5000 0.5000  0.00

Calculated values
total magnetization	3.31	Bohr magnetons per cell
total DFT energy (no corrections)	-3.795	eV per atom
crystal system	tetragonal
formation energy (no corrections)	744	meV/atom

***

Entry 3:
The following is a PBE calculation of a geometry-optimized LiMgCr2 structure, from the Alexandria database.

Cell: 5.1420 5.4832 2.8324 Å, 78.06 83.70 116.14°
Site moments in Bohr magnetons follow the coordinates.
Sites, in units of the cell vectors:
1 Li 0.0000 0.5000 0.5000  -0.02
2 Mg 0.5000 0.5000 0.0000  -0.03
3 Cr 0.0000 0.0000 0.0000  3.25
4 Cr 0.5000 0.0000 0.5000  3.25

Calculated values
total magnetization	7.14	Bohr magnetons per cell
total DFT energy (no corrections)	-4.994	eV per atom
calculated formation energy	695	meV per atom
crystal system	monoclinic

***

Entry 4:
The following is a PBE calculation of a geometry-optimized NaIn2Au structure, from the Alexandria database.

Cell: 4.7910 4.7910 5.7642 Å, 65.44 65.44 60.00°
Sites, in units of the cell vectors:
1 Na 0.4892 0.4892 0.5322
2 Au 0.6819 0.6819 0.9544
3 In 0.2727 0.2727 0.1818
4 In 0.0561 0.0561 0.8316

Calculated values
total magnetization	0.00	Bohr magnetons per cell
total DFT energy (no corrections)	-2.745	eV per atom
calculated formation energy	-227	meV per atom
crystal system	trigonal